Material: Ho2Tm3Ag2
Method: DFT, PBE
State: optimized geometry

Unit cell a=5.290 b=5.290 c=8.199 alpha=108.81 beta=90.00 gamma=120.01
Positions (direct):
Ho  0.924  0.848  0.272
Ho  0.076  0.152  0.728
Tm  0.340  0.680  0.520
Tm  0.660  0.320  0.480
Ag  0.788  0.575  0.862
Ag  0.212  0.425  0.138
Tm  0.500  0.000  0.000

Results
Total magnetic moment ... 0.00 μB/cell
DOS at the Fermi energy ... 1.111 states/eV/atom
Symmetry ... R-3m (166)
Energy relative to the lowest polymorph listed for this composition ... 0.000 eV per atom